No. 1
A plane-wave DFT calculation with PBE was carried out for a relaxed structure of Pa3Pd2Au4. Values from VASP.

Structure (Quantum ESPRESSO input):
```
&SYSTEM
  ibrav = 0, nat = 18, ntyp = 3
/
ATOMIC_SPECIES
Pa 231.04 Pa.upf
Pd 106.42 Pd.upf
Au 196.97 Au.upf
CELL_PARAMETERS angstrom
7.1713 -4.1442 0.0000
7.1713 4.1442 0.0000
-0.0008 0.0000 6.1833
ATOMIC_POSITIONS crystal
Pa 0.9998 0.0002 0.2500
Pa 0.0002 0.9998 0.7500
Pa 0.3282 0.3288 0.2500
Pa 0.3288 0.3282 0.7500
Pa 0.6712 0.6718 0.2500
Pa 0.6718 0.6712 0.7500
Pd 0.0024 0.3337 0.4989
Pd 0.3337 0.0024 0.9989
Pd 0.6663 0.9976 0.0011
Pd 0.9976 0.6663 0.5011
Au 0.0010 0.6682 0.0010
Au 0.3306 0.6641 0.5000
Au 0.3318 0.9990 0.4990
Au 0.3359 0.6694 0.0000
Au 0.6641 0.3306 0.0000
Au 0.6682 0.0010 0.5010
Au 0.6694 0.3359 0.5000
Au 0.9990 0.3318 0.9990
```

DFT formation energy (eV per atom): -0.5226

=====

No. 2
A plane-wave DFT calculation with PBE was carried out for a relaxed structure of Na5B7C3. Values from VASP.

Structure (Quantum ESPRESSO input):
```
&SYSTEM
  ibrav = 0, nat = 30, ntyp = 3
/
ATOMIC_SPECIES
Na 22.99 Na.upf
B 10.81 B.upf
C 12.01 C.upf
CELL_PARAMETERS angstrom
8.9710 -1.4056 0.0000
8.9710 1.4056 0.0000
-5.3249 0.0000 12.3641
ATOMIC_POSITIONS crystal
Na 0.0000 0.0000 0.0000
Na 0.0000 0.0000 0.5000
Na 0.1988 0.1988 0.3979
Na 0.1997 0.1997 0.9030
Na 0.4009 0.4009 0.2944
Na 0.4005 0.4005 0.8035
Na 0.5995 0.5995 0.1965
Na 0.5991 0.5991 0.7056
Na 0.8003 0.8003 0.0970
Na 0.8012 0.8012 0.6021
B 0.0279 0.0279 0.3009
B 0.0404 0.0404 0.8341
B 0.1767 0.1767 0.6067
B 0.2318 0.2318 0.2088
B 0.3635 0.3635 0.9778
B 0.3659 0.3659 0.4811
B 0.4295 0.4295 0.6114
B 0.5705 0.5705 0.3886
B 0.6341 0.6341 0.5189
B 0.6365 0.6365 0.0222
B 0.7682 0.7682 0.7912
B 0.8233 0.8233 0.3933
B 0.9596 0.9596 0.1659
B 0.9721 0.9721 0.6991
C 0.1686 0.1686 0.0846
C 0.2358 0.2358 0.7274
C 0.4277 0.4277 0.1032
C 0.5723 0.5723 0.8968
C 0.7642 0.7642 0.2726
C 0.8314 0.8314 0.9154
```

Energy above the lowest structure with this stoichiometry (meV/atom): 5
DFT formation energy (eV per atom): 0.1182

=====

No. 3
A plane-wave DFT calculation with PBE was carried out for a relaxed structure of K2NaGa3Au4. Values from VASP.

Structure (Quantum ESPRESSO input):
```
&SYSTEM
  ibrav = 0, nat = 10, ntyp = 4
/
ATOMIC_SPECIES
K 39.10 K.upf
Na 22.99 Na.upf
Ga 69.72 Ga.upf
Au 196.97 Au.upf
CELL_PARAMETERS angstrom
4.6963 0.0000 0.0000
0.0000 4.6963 0.0000
0.0000 0.0000 10.9071
ATOMIC_POSITIONS crystal
K 0.0000 0.5000 0.2423
K 0.5000 0.0000 0.7577
Na 0.0000 0.0000 0.5000
Ga 0.0000 0.5000 0.8861
Ga 0.5000 0.0000 0.1139
Ga 0.5000 0.5000 0.5000
Au 0.0000 0.0000 0.0000
Au 0.0000 0.5000 0.6444
Au 0.5000 0.0000 0.3556
Au 0.5000 0.5000 0.0000
```

DFT formation energy (eV per atom): -0.3066

=====

No. 4
A plane-wave DFT calculation with PBE was carried out for a relaxed structure of AcCu4Sn4. Values from VASP.

Structure (Quantum ESPRESSO input):
```
&SYSTEM
  ibrav = 0, nat = 18, ntyp = 3
/
ATOMIC_SPECIES
Ac 227.00 Ac.upf
Cu 63.55 Cu.upf
Sn 118.71 Sn.upf
CELL_PARAMETERS angstrom
8.7175 0.0000 0.0000
0.0000 8.7175 0.0000
0.0000 0.0000 5.4546
ATOMIC_POSITIONS crystal
Ac 0.2500 0.2500 0.2500
Ac 0.7500 0.7500 0.7500
Cu 0.0762 0.5852 0.6412
Cu 0.0852 0.9238 0.1412
Cu 0.4148 0.5762 0.1412
Cu 0.4238 0.9148 0.6412
Cu 0.5762 0.0852 0.3588
Cu 0.5852 0.4238 0.8588
Cu 0.9148 0.0762 0.8588
Cu 0.9238 0.4148 0.3588
Sn 0.1012 0.6247 0.1430
Sn 0.1247 0.8988 0.6430
Sn 0.3753 0.6012 0.6430
Sn 0.3988 0.8753 0.1430
Sn 0.6012 0.1247 0.8570
Sn 0.6247 0.3988 0.3570
Sn 0.8753 0.1012 0.3570
Sn 0.8988 0.3753 0.8570
```

Energy above the lowest structure with this stoichiometry (meV/atom): 67
DFT formation energy (eV per atom): -0.0924

=====

No. 5
A plane-wave DFT calculation with PBE was carried out for a relaxed structure of La2BiPbO6. Values from VASP.

Structure (Quantum ESPRESSO input):
```
&SYSTEM
  ibrav = 0, nat = 10, ntyp = 4
/
ATOMIC_SPECIES
La 138.91 La.upf
Bi 208.98 Bi.upf
Pb 207.20 Pb.upf
O 16.00 O.upf
CELL_PARAMETERS angstrom
3.0836 1.7803 5.3079
-3.0836 1.7803 5.3079
0.0000 -3.5606 5.3079
ATOMIC_POSITIONS crystal
La 0.0000 0.0000 0.0000
La 0.4968 0.4968 0.4968
Bi 0.7149 0.7149 0.7149
Pb 0.2181 0.2181 0.2181
O 0.1002 0.4074 0.8225
O 0.3306 0.9008 0.6062
O 0.4074 0.8225 0.1002
O 0.6062 0.3306 0.9008
O 0.8225 0.1002 0.4074
O 0.9008 0.6062 0.3306
```

Formation energy without anion corrections (eV/atom): -2.205

=====

No. 6
A plane-wave DFT calculation with PBE was carried out for a relaxed structure of YMg2Pb. Values from VASP.

Structure (Quantum ESPRESSO input):
```
&SYSTEM
  ibrav = 0, nat = 4, ntyp = 3
/
ATOMIC_SPECIES
Y 88.91 Y.upf
Mg 24.30 Mg.upf
Pb 207.20 Pb.upf
CELL_PARAMETERS angstrom
0.0000 3.7344 3.7344
3.7344 0.0000 3.7344
3.7344 3.7344 0.0000
ATOMIC_POSITIONS crystal
Y 0.0000 0.0000 0.0000
Mg 0.2500 0.2500 0.2500
Mg 0.5000 0.5000 0.5000
Pb 0.7500 0.7500 0.7500
```

DFT formation energy (eV per atom): -0.1112

=====

No. 7
A plane-wave DFT calculation with PBE was carried out for a relaxed structure of Dy3MgFe8. Values from VASP.

Structure (Quantum ESPRESSO input):
```
&SYSTEM
  ibrav = 0, nat = 12, ntyp = 3
/
ATOMIC_SPECIES
Dy 162.50 Dy.upf
Mg 24.30 Mg.upf
Fe 55.84 Fe.upf
CELL_PARAMETERS angstrom
2.5409 1.4670 8.3013
-2.5409 1.4670 8.3013
0.0000 -2.9340 8.3013
ATOMIC_POSITIONS crystal
Dy 0.0000 0.0000 0.0000
Dy 0.1268 0.1268 0.1268
Dy 0.6213 0.6213 0.6213
Mg 0.4982 0.4982 0.4982
Fe 0.0603 0.0603 0.5613
Fe 0.0603 0.5613 0.0603
Fe 0.0639 0.5626 0.5626
Fe 0.3121 0.3121 0.3121
Fe 0.5613 0.0603 0.0603
Fe 0.5626 0.0639 0.5626
Fe 0.5626 0.5626 0.0639
Fe 0.8113 0.8113 0.8113
```

DFT formation energy (eV per atom): -0.0506

=====

No. 8
A plane-wave DFT calculation with PBE was carried out for a relaxed structure of ErAgPb. Values from VASP.

Structure (Quantum ESPRESSO input):
```
&SYSTEM
  ibrav = 0, nat = 9, ntyp = 3
/
ATOMIC_SPECIES
Er 167.26 Er.upf
Ag 107.87 Ag.upf
Pb 207.20 Pb.upf
CELL_PARAMETERS angstrom
7.4971 0.0000 0.0000
-3.7486 6.4927 0.0000
0.0000 0.0000 4.5441
ATOMIC_POSITIONS crystal
Er 0.0000 0.5702 0.0000
Er 0.4298 0.4298 0.0000
Er 0.5702 0.0000 0.0000
Ag 0.0000 0.2464 0.5000
Ag 0.2464 0.0000 0.5000
Ag 0.7536 0.7536 0.5000
Pb 0.0000 0.0000 0.0000
Pb 0.3333 0.6667 0.5000
Pb 0.6667 0.3333 0.5000
```

DFT formation energy (eV per atom): -0.3496

=====

| no. | total magnetization (μB/f.u.) |
| --- | --- |
| 1 | 1.7 |
| 2 | 0.0 |
| 3 | 0.0 |
| 4 | 0.0 |
| 5 | 0.0 |
| 6 | 0.0 |
| 7 | 14.8 |
| 8 | 0.0 |